Entry 1:
Here is crystalline BaHgBi at its relaxed geometry from Alexandria via LeMat-Bulk. Energies are from PBE.

## Properties
* ρ: 8.1 g/cm3
* symmetry: P3m1 (156)
* crystal system: trigonal
* energy above the lowest structure with this stoichiometry: 0.000 eV per atom
* energy of formation from the pure elements: -587 meV per atom

Unit cell a=5.102 b=5.102 c=4.967 alpha=90.00 beta=90.00 gamma=120.00
Fractional positions:
Ba 0.000 0.000 0.000
Hg 0.333 0.667 0.623
Bi 0.667 0.333 0.449

---

Entry 2:
Here is crystalline KNaIn2Cl8 at its relaxed geometry from Alexandria via LeMat-Bulk. Energies are from PBE.

## Properties
* formation energy without anion corrections: -1362 meV/atom
* ρ: 2.7 g/cm3
* symmetry: I-4 (82)
* crystal system: tetragonal

Unit cell a=9.159 b=9.159 c=9.159 alpha=136.44 beta=136.44 gamma=63.30
Fractional positions:
K 0.000 0.000 0.000
Na 0.750 0.250 0.500
In 0.250 0.750 0.500
In 0.500 0.500 0.000
Cl 0.001 0.925 0.584
Cl 0.075 0.659 0.076
Cl 0.165 0.257 0.593
Cl 0.341 0.418 0.416
Cl 0.428 0.835 0.092
Cl 0.582 0.999 0.924
Cl 0.664 0.572 0.407
Cl 0.743 0.336 0.908

---

no.,total magnetization (μB per formula unit)
1,0.00
2,0.00